No. 1
DFT (GGA-PBE) results for CaZrCl2 after structural relaxation.

Values from the calculation:
ΔE_f (raw) in eV/atom: -0.7665
N(E_F) in states/eV per cell: 2.9
Total energy in eV/cell: -17.31

Unit cell a=3.291 b=3.291 c=9.863 alpha=90.00 beta=90.00 gamma=90.00
Sites, in units of the cell vectors:
Ca (0.000, 0.000, 0.000)
Zr (0.000, 0.000, 0.500)
Cl (0.500, 0.500, 0.344)
Cl (0.500, 0.500, 0.656)

***

No. 2
DFT (GGA-PBE) results for PrZnIr after structural relaxation.

Values from the calculation:
N(E_F) in states/eV per cell: 1.7
DFT formation energy in eV per atom: -0.296
Total energy in eV/cell: -15.80

Unit cell a=5.818 b=5.818 c=5.818 alpha=145.88 beta=145.88 gamma=49.03
Sites, in units of the cell vectors:
Pr (0.000, 0.000, 0.000)
Zn (0.287, 0.287, 0.000)
Ir (0.677, 0.677, 0.000)

***

No. 3
DFT (GGA-PBE) results for U3Ru after structural relaxation.

Values from the calculation:
N(E_F) in states/eV per cell: 7.9
DFT formation energy in eV per atom: -0.062
Total energy in eV/cell: -43.39

Unit cell a=4.689 b=4.689 c=3.538 alpha=90.00 beta=90.00 gamma=90.00
Sites, in units of the cell vectors:
U (0.000, 0.000, 0.000)
U (0.000, 0.500, 0.343)
U (0.500, 0.000, 0.343)
Ru (0.500, 0.500, 0.805)

***

No. 4
DFT (GGA-PBE) results for PmHfCoTc after structural relaxation.

Values from the calculation:
N(E_F) in states/eV per cell: 3.8
DFT formation energy in eV per atom: -0.050
Total energy in eV/cell: -32.38

Unit cell a=4.709 b=4.709 c=4.709 alpha=60.00 beta=60.00 gamma=60.00
Sites, in units of the cell vectors:
Pm (0.000, 0.000, 0.000)
Hf (0.500, 0.500, 0.500)
Co (0.250, 0.250, 0.250)
Tc (0.750, 0.750, 0.750)

***

No. 5
DFT (GGA-PBE) results for NaCa2TlN after structural relaxation.

Values from the calculation:
ΔE_f (raw) in eV/atom: -0.3566
N(E_F) in states/eV per cell: 3.0
Total energy in eV/cell: -17.80

Unit cell a=4.847 b=4.847 c=5.134 alpha=90.00 beta=90.00 gamma=90.00
Sites, in units of the cell vectors:
Na (0.000, 0.000, 0.000)
Ca (0.000, 0.500, 0.500)
Ca (0.500, 0.000, 0.500)
Tl (0.500, 0.500, 0.000)
N (0.000, 0.000, 0.500)

***

No. 6
DFT (GGA-PBE) results for YGaRe2 after structural relaxation.

Values from the calculation:
N(E_F) in states/eV per cell: 4.9
DFT formation energy in eV per atom: 0.414
Total energy in eV/cell: -65.46

Unit cell a=9.846 b=9.846 c=9.846 alpha=155.28 beta=155.28 gamma=35.25
Sites, in units of the cell vectors:
Y (0.000, 0.000, 0.000)
Y (0.750, 0.250, 0.500)
Ga (0.250, 0.750, 0.500)
Ga (0.500, 0.500, 0.000)
Re (0.229, 0.125, 0.604)
Re (0.375, 0.771, 0.896)
Re (0.521, 0.625, 0.396)
Re (0.875, 0.479, 0.104)

***

No. 7
DFT (GGA-PBE) results for ThZn4Ni after structural relaxation.

Values from the calculation:
N(E_F) in states/eV per cell: 6.8
DFT formation energy in eV per atom: -0.277
Total energy in eV/cell: -39.92

Unit cell a=7.308 b=4.159 c=6.895 alpha=90.00 beta=90.00 gamma=90.00
Sites, in units of the cell vectors:
Th (0.250, 0.000, 0.111)
Th (0.750, 0.000, 0.889)
Zn (0.000, 0.000, 0.500)
Zn (0.062, 0.500, 0.799)
Zn (0.250, 0.500, 0.457)
Zn (0.438, 0.500, 0.799)
Zn (0.500, 0.000, 0.500)
Zn (0.562, 0.500, 0.201)
Zn (0.750, 0.500, 0.543)
Zn (0.938, 0.500, 0.201)
Ni (0.250, 0.000, 0.721)
Ni (0.750, 0.000, 0.279)

***

No. 8
DFT (GGA-PBE) results for SmEr3Sc2Te6 after structural relaxation.

Values from the calculation:
ΔE_f (raw) in eV/atom: -1.1977
N(E_F) in states/eV per cell: 7.7
Total energy in eV/cell: -64.29

Unit cell a=9.589 b=9.589 c=8.618 alpha=102.47 beta=102.47 gamma=25.78
Sites, in units of the cell vectors:
Sm (0.000, 0.000, 0.000)
Er (0.000, 0.000, 0.500)
Er (0.341, 0.341, 0.168)
Er (0.659, 0.659, 0.832)
Sc (0.337, 0.337, 0.670)
Sc (0.663, 0.663, 0.330)
Te (0.171, 0.171, 0.579)
Te (0.173, 0.173, 0.094)
Te (0.495, 0.495, 0.740)
Te (0.505, 0.505, 0.260)
Te (0.827, 0.827, 0.906)
Te (0.829, 0.829, 0.421)